DFT (PBE-GGA) results for a relaxed structure of Y2TlW.

Unit cell a=3.4240 b=3.4240 c=29.9006 alpha=90.00 beta=90.00 gamma=120.00
With the nearest neighbours (Å) after each atom.
Space group R-3m (No. 166, hexagonal axes)
Unique sites:
Y (0.0000, 0.0000, 0.2426) [6 per cell]  3 W 3.01, 3 Tl 3.36
Tl (0.0000, 0.0000, 0.0000) [3 per cell]  6 Y 3.36, 6 Tl 3.42
W (0.0000, 0.0000, 0.5000) [3 per cell]  6 Y 3.01

Formation energy   35 kJ per mole of atoms
Spin magnetization   1.0 μB/f.u.

---

DFT (PBE-GGA) results for a relaxed structure of La3Al4Ir2.

Unit cell a=10.7076 b=4.6283 c=8.4561 alpha=90.00 beta=100.56 gamma=90.00
With the nearest neighbours (Å) after each atom.
Space group C2/m (No. 12)
Unique sites:
La (0.0000, 0.0000, 0.0000) [2 per cell]  8 Al 3.25-3.50
La (0.1081, 0.5000, 0.7028) [4 per cell]  4 Ir 3.07-3.31, 8 Al 3.25-3.36
Al (0.1100, 0.0000, 0.4156) [4 per cell]  3 Ir 2.51-2.53
Al (0.2166, 0.5000, 0.0881) [4 per cell]  1 Ir 2.48
Ir (0.1891, 0.5000, 0.3728) [4 per cell]  4 Al 2.48-2.53

Formation energy   -63 kJ per mole of atoms
Spin magnetization   0.0 μB/f.u.

---

DFT (PBE-GGA) results for a relaxed structure of Er3Al4Zn4.

Unit cell a=27.1612 b=3.6538 c=4.3662 alpha=90.00 beta=99.24 gamma=90.00
With the nearest neighbours (Å) after each atom.
Space group C2/m (No. 12)
Unique sites:
Er (0.0000, 0.0000, 0.0000) [2 per cell]  4 Al 3.11, 8 Zn 3.11
Er (0.1454, 0.0000, 0.6450) [4 per cell]  6 Zn 3.06-3.21, 6 Al 3.16-3.23
Al (0.0939, 0.5000, 0.0937) [4 per cell]  3 Zn 2.51-2.52
Al (0.2446, 0.5000, 0.7436) [4 per cell]  4 Zn 2.58-2.66, 4 Al 2.86-2.87
Zn (0.0470, 0.5000, 0.5469) [4 per cell]  2 Al 2.52, 1 Zn 2.52
Zn (0.1876, 0.5000, 0.1869) [4 per cell]  5 Al 2.51-2.66

Formation energy   -38 kJ per mole of atoms
Spin magnetization   0.0 μB/f.u.

---

DFT (PBE-GGA) results for a relaxed structure of K2ZrAs.

Unit cell a=12.3081 b=12.3081 c=5.2254 alpha=90.00 beta=90.00 gamma=90.00
With the nearest neighbours (Å) after each atom.
Space group I-42d (No. 122)
Unique sites:
K (0.0984, 0.2500, 0.1250) [8 per cell]  2 As 3.37
Zr (0.0000, 0.0000, 0.5000) [4 per cell]  2 As 2.61
As (0.0000, 0.0000, 0.0000) [4 per cell]  2 Zr 2.61

Formation energy   19 kJ per mole of atoms
Spin magnetization   1.0 μB/f.u.

---

DFT (PBE-GGA) results for a relaxed structure of In2IrOs.

Unit cell a=10.4472 b=2.9766 c=4.8889 alpha=90.00 beta=112.70 gamma=90.00
With the nearest neighbours (Å) after each atom.
Space group Cm (No. 8)
Unique sites:
In (0.0000, 0.0000, 0.0000) [2 per cell]  4 Os 2.80-2.97, 3 Ir 2.82-2.91, 3 In 2.93-2.98
In (0.2151, 0.0000, 0.6007) [2 per cell]  4 Ir 2.81-2.97, 3 Os 2.84-2.89, 3 In 2.93-2.98
Ir (0.2555, 0.5000, 0.1152) [2 per cell]  2 Os 2.69, 7 In 2.81-2.97, 2 Ir 2.98
Os (0.4631, 0.0000, 0.4900) [2 per cell]  2 Ir 2.69, 7 In 2.80-2.97, 2 Os 2.98

Formation energy   22 kJ per mole of atoms
Spin magnetization   0.0 μB/f.u.

---

DFT (PBE-GGA) results for a relaxed structure of ThMgScAu.

Unit cell a=7.2982 b=7.2982 c=7.2982 alpha=90.00 beta=90.00 gamma=90.00
With the nearest neighbours (Å) after each atom.
Space group F-43m (No. 216)
Unique sites:
Th (0.0000, 0.0000, 0.0000) [4 per cell]  4 Mg 3.16, 4 Au 3.16
Mg (0.2500, 0.2500, 0.2500) [4 per cell]  4 Th 3.16, 4 Sc 3.16
Sc (0.0000, 0.0000, 0.5000) [4 per cell]  4 Mg 3.16, 4 Au 3.16
Au (0.2500, 0.2500, 0.7500) [4 per cell]  4 Th 3.16, 4 Sc 3.16

Formation energy   -23 kJ per mole of atoms
Spin magnetization   0.6 μB/f.u.

---

DFT (PBE-GGA) results for a relaxed structure of ScTl2Te.

Unit cell a=8.7118 b=8.7118 c=6.1165 alpha=90.00 beta=90.00 gamma=90.00
With the nearest neighbours (Å) after each atom.
Space group I-42d (No. 122)
Unique sites:
Sc (0.0000, 0.0000, 0.0000) [4 per cell]  2 Te 3.06, 4 Tl 3.07
Tl (0.2320, 0.2500, 0.1250) [8 per cell]  2 Sc 3.07, 2 Tl 3.07, 2 Te 3.28
Te (0.0000, 0.0000, 0.5000) [4 per cell]  2 Sc 3.06, 4 Tl 3.28

Formation energy without anion corrections   -0.105 eV per atom
Spin magnetization   0.0 μB/f.u.

---

DFT (PBE-GGA) results for a relaxed structure of ReIrSe4.

Unit cell a=7.6726 b=7.6726 c=7.6726 alpha=90.00 beta=90.00 gamma=90.00
With the nearest neighbours (Å) after each atom.
Space group F-43m (No. 216)
Unique sites:
Re (0.0000, 0.0000, 0.0000) [4 per cell]  12 Se 3.18, 4 Ir 3.32
Ir (0.2500, 0.2500, 0.2500) [4 per cell]  12 Se 3.18, 4 Re 3.32
Se (0.1244, 0.1244, 0.6244) [16 per cell]  6 Se 2.70-2.72

Formation energy without anion corrections   1.695 eV per atom
Spin magnetization   2.6 μB/f.u.

---

DFT (PBE-GGA) results for a relaxed structure of Rb2Ba2TaS6.

Unit cell a=7.6588 b=12.6695 c=8.1338 alpha=90.00 beta=108.04 gamma=90.00
With the nearest neighbours (Å) after each atom.
Space group C2/m (No. 12)
Unique sites:
Rb (0.0000, 0.1701, 0.0000) [4 per cell]  4 S 3.31-3.35
Ba (0.0000, 0.3377, 0.5000) [4 per cell]  6 S 3.11-3.17
Ta (0.0000, 0.0000, 0.5000) [2 per cell]  6 S 2.48-2.49
S (0.1972, 0.1366, 0.6884) [8 per cell]  1 Ta 2.49
S (0.1993, 0.0000, 0.3103) [4 per cell]  1 Ta 2.48

Formation energy without anion corrections   -1.304 eV per atom
Spin magnetization   0.8 μB/f.u.

---

DFT (PBE-GGA) results for a relaxed structure of Sr2Tl4Bi.

Unit cell a=6.0795 b=6.0795 c=16.6923 alpha=90.00 beta=90.00 gamma=90.00
With the nearest neighbours (Å) after each atom.
Space group I4/mmm (No. 139)
Unique sites:
Sr (0.0000, 0.0000, 0.1179) [4 per cell]  5 Tl 3.36-3.62
Tl (0.0000, 0.0000, 0.3193) [4 per cell]  1 Bi 3.02, 1 Sr 3.36
Tl (0.0000, 0.5000, 0.0000) [4 per cell]  2 Bi 3.04
Bi (0.0000, 0.0000, 0.5000) [2 per cell]  6 Tl 3.02-3.04

Formation energy   6 kJ per mole of atoms
Spin magnetization   0.0 μB/f.u.

---

DFT (PBE-GGA) results for a relaxed structure of SrMgIn2Ga2.

Unit cell a=4.8339 b=4.8339 c=7.3288 alpha=90.00 beta=90.00 gamma=120.00
With the nearest neighbours (Å) after each atom.
Space group P-3m1 (No. 164)
Unique sites:
Sr (0.0000, 0.0000, 0.0000) [1 per cell]  6 Ga 3.39, 6 In 3.55, 2 Mg 3.66
Mg (0.0000, 0.0000, 0.5000) [1 per cell]  6 In 3.15, 6 Ga 3.29
In (0.3333, 0.6667, 0.6997) [2 per cell]  3 Ga 2.80
Ga (0.3333, 0.6667, 0.2625) [2 per cell]  3 In 2.80

Formation energy   -25 kJ per mole of atoms
Spin magnetization   0.0 μB/f.u.

---

DFT (PBE-GGA) results for a relaxed structure of Tm2SnBi.

Unit cell a=5.7417 b=5.7417 c=3.3154 alpha=90.00 beta=90.00 gamma=90.00
With the nearest neighbours (Å) after each atom.
Space group P4/mmm (No. 123)
Unique sites:
Tm (0.0000, 0.5000, 0.0000) [2 per cell]  4 Sn 3.32, 4 Bi 3.32, 2 Tm 3.32
Sn (0.0000, 0.0000, 0.5000) [1 per cell]  8 Tm 3.32, 2 Sn 3.32
Bi (0.5000, 0.5000, 0.5000) [1 per cell]  8 Tm 3.32, 2 Bi 3.32

Formation energy   -49 kJ per mole of atoms
Spin magnetization   0.5 μB/f.u.

---

| no. | density (g/cm³) |
| --- | --- |
| 1 | 9.288 |
| 2 | 7.328 |
| 3 | 6.766 |
| 4 | 2.050 |
| 5 | 14.493 |
| 6 | 8.514 |
| 7 | 8.318 |
| 8 | 10.210 |
| 9 | 3.624 |
| 10 | 6.469 |
| 11 | 5.386 |
| 12 | 10.112 |